Rb3PRh: single point on PBEsol structure, SCAN.

a b c (Å): 5.5915 5.5915 5.5915
angles (deg): 90.00 90.00 90.00
Space group Pm-3m (No. 221)
One atom of each set of equivalent atoms:
Rb1 0.0000 0.0000 0.5000 [3 per cell]
P1 0.5000 0.5000 0.5000 [1 per cell]
Rh1 0.0000 0.0000 0.0000 [1 per cell]

Calculated values
Crystal system: cubic
M_tot in Bohr magnetons per cell: 1.23
Raw total energy in eV per atom: -20.55
D(E_F) in states/eV per cell: 5.521
Formation energy in eV per formula unit: 3.6



SbP2BrCl: single point on PBEsol structure, SCAN.

a b c (Å): 5.1505 5.1505 5.0586
angles (deg): 90.00 90.00 90.00
Space group P4/mmm (No. 123)
One atom of each set of equivalent atoms:
Sb1 0.0000 0.0000 0.0000 [1 per cell]
P1 0.0000 0.5000 0.0000 [2 per cell]
Br1 0.5000 0.5000 0.5000 [1 per cell]
Cl1 0.0000 0.0000 0.5000 [1 per cell]

Calculated values
Crystal system: tetragonal
M_tot in Bohr magnetons per cell: 2.97
Formation energy (no corrections) in eV/atom: 0.739
Raw total energy in eV per atom: -16.36
D(E_F) in states/eV per cell: 3.042



BaScNbSe2: single point on PBEsol structure, SCAN.

a b c (Å): 5.7823 5.7823 5.4187
angles (deg): 90.00 90.00 90.00
Space group P4/mmm (No. 123)
One atom of each set of equivalent atoms:
Ba1 0.0000 0.0000 0.0000 [1 per cell]
Sc1 0.0000 0.0000 0.5000 [1 per cell]
Nb1 0.5000 0.5000 0.5000 [1 per cell]
Se1 0.0000 0.5000 0.0000 [2 per cell]

Calculated values
Crystal system: tetragonal
M_tot in Bohr magnetons per cell: 5.83
Formation energy (no corrections) in eV/atom: 1.221
Raw total energy in eV per atom: -24.19
D(E_F) in states/eV per cell: 5.060



NbMo2Pt: single point on PBEsol structure, SCAN.

a b c (Å): 6.3237 6.3237 6.3237
angles (deg): 90.00 90.00 90.00
Space group Fm-3m (No. 225)
One atom of each set of equivalent atoms:
Nb1 0.0000 0.0000 0.0000 [4 per cell]
Mo1 0.2500 0.2500 0.2500 [8 per cell]
Pt1 0.0000 0.0000 0.5000 [4 per cell]

Calculated values
Crystal system: cubic
M_tot in Bohr magnetons per cell: 0.00
Raw total energy in eV per atom: -43.21
D(E_F) in states/eV per cell: 26.608
Formation energy in eV per formula unit: 0.2



Al2HgSe: single point on PBEsol structure, SCAN.

a b c (Å): 3.8386 3.8386 11.2129
angles (deg): 90.00 90.00 90.00
Space group I-4m2 (No. 119)
One atom of each set of equivalent atoms:
Al1 0.0000 0.0000 0.0000 [2 per cell]
Al2 0.0000 0.5000 0.2500 [2 per cell]
Hg1 0.0000 0.0000 0.5000 [2 per cell]
Se1 0.0000 0.5000 0.7500 [2 per cell]

Calculated values
Crystal system: tetragonal
M_tot in Bohr magnetons per cell: 0.00
Formation energy (no corrections) in eV/atom: 0.066
Raw total energy in eV per atom: -25.87
D(E_F) in states/eV per cell: 3.481



LiNi3O4: single point on PBEsol structure, SCAN.

a b c (Å): 5.7288 8.0848 5.7337
angles (deg): 90.00 90.00 90.00
Space group Cmmm (No. 65)
One atom of each set of equivalent atoms:
Li1 0.0000 0.0000 0.0000 [2 per cell]
Li2 0.0000 0.0000 0.5000 [2 per cell]
Ni1 0.0000 0.5000 0.0000 [2 per cell]
Ni2 0.0000 0.5000 0.5000 [2 per cell]
Ni3 0.2500 0.2500 0.2496 [8 per cell]
O1 0.0000 0.2468 0.0000 [4 per cell]
O2 0.0000 0.2469 0.5000 [4 per cell]
O3 0.2305 0.5000 0.2464 [8 per cell]

Calculated values
Crystal system: orthorhombic
M_tot in Bohr magnetons per cell: 20.00
Formation energy (no corrections) in eV/atom: -1.446
Raw total energy in eV per atom: -10.93
D(E_F) in states/eV per cell: 10.923



ScFe2P: single point on PBEsol structure, SCAN.

a b c (Å): 5.9081 5.9081 5.9081
angles (deg): 90.00 90.00 90.00
Space group F-43m (No. 216)
One atom of each set of equivalent atoms:
Sc1 0.0000 0.0000 0.0000 [4 per cell]
Fe1 0.0000 0.0000 0.5000 [4 per cell]
Fe2 0.2500 0.2500 0.2500 [4 per cell]
P1 0.2500 0.2500 0.7500 [4 per cell]

Calculated values
Crystal system: cubic
M_tot in Bohr magnetons per cell: 19.91
Raw total energy in eV per atom: -15.50
D(E_F) in states/eV per cell: 8.438
Formation energy in eV per formula unit: -1.1



BeAgH3: single point on PBEsol structure, SCAN.

a b c (Å): 3.3367 3.3367 3.3367
angles (deg): 90.00 90.00 90.00
Space group Pm-3m (No. 221)
One atom of each set of equivalent atoms:
Be1 0.0000 0.0000 0.0000 [1 per cell]
Ag1 0.5000 0.5000 0.5000 [1 per cell]
H1 0.0000 0.0000 0.5000 [3 per cell]

Calculated values
Crystal system: cubic
M_tot in Bohr magnetons per cell: 0.00
Raw total energy in eV per atom: -8.75
D(E_F) in states/eV per cell: 0.036



Zr4TcPt: single point on PBEsol structure, SCAN.

a b c (Å): 7.6727 7.6727 7.6727
angles (deg): 90.00 90.00 90.00
Space group F-43m (No. 216)
One atom of each set of equivalent atoms:
Zr1 0.1246 0.1246 0.1246 [16 per cell]
Tc1 0.2500 0.2500 0.7500 [4 per cell]
Pt1 0.0000 0.0000 0.5000 [4 per cell]

Calculated values
Crystal system: cubic
M_tot in Bohr magnetons per cell: 0.04
Raw total energy in eV per atom: -37.62
D(E_F) in states/eV per cell: 40.389
Formation energy in eV per formula unit: 2.3



PrZnFe2O6: single point on PBEsol structure, SCAN.

a b c (Å): 7.3651 5.3571 5.1642
angles (deg): 90.00 90.00 90.00
Space group Pmn2_1 (No. 31)
One atom of each set of equivalent atoms:
Pr1 0.0000 0.2227 0.0000 [2 per cell]
Zn1 0.0000 0.7305 0.5360 [2 per cell]
Fe1 0.2494 0.2547 0.5096 [4 per cell]
O1 0.0000 0.2648 0.4436 [2 per cell]
O2 0.0000 0.7581 0.1428 [2 per cell]
O3 0.1973 0.9622 0.7170 [4 per cell]
O4 0.1976 0.5009 0.7609 [4 per cell]

Calculated values
Crystal system: orthorhombic
M_tot in Bohr magnetons per cell: 15.68
Formation energy (no corrections) in eV/atom: -2.034
Raw total energy in eV per atom: -15.08
D(E_F) in states/eV per cell: 7.420



AgAs2Se: single point on PBEsol structure, SCAN.

a b c (Å): 5.1253 5.1253 2.8211
angles (deg): 90.00 90.00 90.00
Space group P4/mmm (No. 123)
One atom of each set of equivalent atoms:
Ag1 0.0000 0.0000 0.0000 [1 per cell]
As1 0.0000 0.5000 0.5000 [2 per cell]
Se1 0.5000 0.5000 0.0000 [1 per cell]

Calculated values
Crystal system: tetragonal
M_tot in Bohr magnetons per cell: 0.00
Formation energy (no corrections) in eV/atom: 0.454
Raw total energy in eV per atom: -22.50
D(E_F) in states/eV per cell: 2.411



CdP2Os: single point on PBEsol structure, SCAN.

a b c (Å): 3.7862 3.7862 8.3928
angles (deg): 90.00 90.00 90.00
Space group I-4m2 (No. 119)
One atom of each set of equivalent atoms:
Cd1 0.0000 0.0000 0.0000 [2 per cell]
P1 0.0000 0.0000 0.5000 [2 per cell]
P2 0.0000 0.5000 0.7500 [2 per cell]
Os1 0.0000 0.5000 0.2500 [2 per cell]

Calculated values
Excess energy over the best structure of this formula in the dataset in kcal/mol of atoms: 10.18
Crystal system: tetragonal
M_tot in Bohr magnetons per cell: 0.00
Raw total energy in eV per atom: -29.93
D(E_F) in states/eV per cell: 4.424
Formation energy in eV per formula unit: 3.4



Question: The highest raw total energy belongs to which entry?
Answer: BeAgH3